1.
The following is a DFT calculation (PBE) of a relaxed structure of Pr5B2C5.

E ... -344.4 eV/cell
SG ... P4/ncc (130)
Crystal system ... tetragonal
E_form ... -0.227 eV per atom

abc: 8.682 8.682 11.085
angles: 90.00 90.00 90.00
Sites, in units of the cell vectors:
Pr1 0.037 0.657 0.101
Pr2 0.037 0.843 0.601
Pr3 0.157 0.537 0.399
Pr4 0.157 0.963 0.899
Pr5 0.250 0.250 0.144
Pr6 0.250 0.250 0.644
Pr7 0.343 0.537 0.899
Pr8 0.343 0.963 0.399
Pr9 0.463 0.657 0.601
Pr10 0.463 0.843 0.101
Pr11 0.537 0.157 0.899
Pr12 0.537 0.343 0.399
Pr13 0.657 0.037 0.601
Pr14 0.657 0.463 0.101
Pr15 0.750 0.750 0.356
Pr16 0.750 0.750 0.856
Pr17 0.843 0.037 0.101
Pr18 0.843 0.463 0.601
Pr19 0.963 0.157 0.399
Pr20 0.963 0.343 0.899
B1 0.093 0.593 0.750
B2 0.093 0.907 0.250
B3 0.407 0.593 0.250
B4 0.407 0.907 0.750
B5 0.593 0.093 0.250
B6 0.593 0.407 0.750
B7 0.907 0.093 0.750
B8 0.907 0.407 0.250
C1 0.051 0.645 0.871
C2 0.051 0.855 0.371
C3 0.145 0.551 0.629
C4 0.145 0.949 0.129
C5 0.250 0.250 0.405
C6 0.250 0.250 0.905
C7 0.355 0.551 0.129
C8 0.355 0.949 0.629
C9 0.449 0.645 0.371
C10 0.449 0.855 0.871
C11 0.551 0.145 0.129
C12 0.551 0.355 0.629
C13 0.645 0.051 0.371
C14 0.645 0.449 0.871
C15 0.750 0.750 0.095
C16 0.750 0.750 0.595
C17 0.855 0.051 0.871
C18 0.855 0.449 0.371
C19 0.949 0.145 0.629
C20 0.949 0.355 0.129



2.
The following is a DFT calculation (PBE) of a relaxed structure of PrReP2.

E ... -30.2 eV/cell
ΔE to the lowest computed polymorph ... 0.1833 eV/atom
SG ... P1 (1)
Crystal system ... triclinic
E_form ... -0.545 eV per atom

abc: 3.511 3.926 6.489
angles: 107.48 104.20 90.21
Sites, in units of the cell vectors:
Pr1 0.000 0.000 0.000
Re1 0.773 0.246 0.499
P1 0.389 0.383 0.759
P2 0.778 0.652 0.309